[1]
Compound: RbIrSeO
Source: OQMD
Functional: PBE
Structure: relaxed

a b c (Å): 4.366 7.095 6.937
angles (deg): 90.00 90.00 90.00
Element x y z (fractional)
Ir1 0.500 0.938 0.026
O1 0.500 0.097 0.250
Se1 0.000 0.200 0.598
Ir2 0.500 0.062 0.526
Rb1 0.000 0.686 0.617
Se2 0.000 0.800 0.098
Rb2 0.000 0.314 0.117
O2 0.500 0.903 0.750

Symmetry: No. 26
Final energy, eV per atom: -5.1203


[2]
Compound: Rb2YIrO6
Source: OQMD
Functional: PBE
Structure: relaxed

a b c (Å): 5.896 5.896 5.896
angles (deg): 60.00 60.00 60.00
Element x y z (fractional)
O1 0.270 0.270 0.730
Rb1 0.250 0.250 0.250
O2 0.270 0.730 0.730
Ir1 0.500 0.500 0.500
O3 0.730 0.270 0.730
O4 0.270 0.730 0.270
O5 0.730 0.730 0.270
Rb2 0.750 0.750 0.750
Y1 0.000 0.000 0.000
O6 0.730 0.270 0.270

Symmetry: No. 225
Final energy, eV per atom: -6.3559


[3]
Compound: Re2IrO4
Source: OQMD
Functional: PBE
Structure: relaxed

a b c (Å): 6.161 6.161 6.161
angles (deg): 119.98 90.04 119.98
Element x y z (fractional)
O1 0.614 0.773 0.387
Re1 0.875 0.250 0.625
O2 0.136 0.727 0.863
O3 0.136 0.273 0.409
O4 0.159 0.773 0.386
Re2 0.375 0.750 0.125
O5 0.614 0.227 0.841
O6 0.613 0.227 0.386
Re3 0.375 0.250 0.625
Ir1 0.000 0.000 0.000
Re4 0.375 0.750 0.625
O7 0.137 0.273 0.864
Ir2 0.750 0.500 0.250
O8 0.591 0.727 0.864

Symmetry: No. 227
Final energy, eV per atom: -7.7484


[4]
Compound: Sm2ReIrO6
Source: OQMD
Functional: PBE
Structure: relaxed

a b c (Å): 5.622 5.622 5.622
angles (deg): 60.00 60.00 60.00
Element x y z (fractional)
O1 0.749 0.251 0.251
O2 0.251 0.749 0.251
Sm1 0.750 0.750 0.750
Re1 0.500 0.500 0.500
O3 0.749 0.749 0.251
O4 0.251 0.749 0.749
O5 0.749 0.251 0.749
Ir1 0.000 0.000 0.000
O6 0.251 0.251 0.749
Sm2 0.250 0.250 0.250

Symmetry: No. 225
Final energy, eV per atom: -7.6321


[5]
Compound: Sb2IrO4
Source: OQMD
Functional: PBE
Structure: relaxed

a b c (Å): 6.723 6.723 6.723
angles (deg): 119.99 90.02 119.99
Element x y z (fractional)
O1 0.623 0.754 0.377
O2 0.127 0.254 0.873
O3 0.623 0.246 0.869
Ir1 0.750 0.500 0.250
Sb1 0.375 0.750 0.125
Sb2 0.375 0.250 0.625
O4 0.619 0.746 0.873
O5 0.127 0.254 0.381
Sb3 0.875 0.250 0.625
O6 0.131 0.754 0.377
O7 0.623 0.246 0.377
Ir2 0.000 0.000 0.000
O8 0.127 0.746 0.873
Sb4 0.375 0.750 0.625

Symmetry: No. 227
Final energy, eV per atom: -5.5689


[6]
Compound: SbIrO3
Source: OQMD
Functional: PBE
Structure: relaxed

a b c (Å): 3.920 7.967 3.921
angles (deg): 90.00 99.72 90.00
Element x y z (fractional)
O1 0.012 0.750 0.116
O2 0.386 0.250 0.488
Sb1 0.000 0.500 0.500
Ir1 0.517 0.250 0.016
Sb2 0.000 0.000 0.500
Ir2 0.483 0.750 0.984
O3 0.614 0.750 0.512
O4 0.500 0.000 0.000
O5 0.988 0.250 0.884
O6 0.500 0.500 0.000

Symmetry: No. 63
Final energy, eV per atom: -5.9843


[7]
Compound: SbIrO3
Source: OQMD
Functional: PBE
Structure: relaxed

a b c (Å): 5.877 7.568 5.288
angles (deg): 90.00 90.00 90.00
Element x y z (fractional)
Sb1 0.443 0.750 0.974
O1 0.674 0.539 0.849
O2 0.674 0.961 0.849
O3 0.826 0.461 0.349
O4 0.053 0.750 0.151
Sb2 0.057 0.250 0.474
O5 0.326 0.461 0.151
Sb3 0.557 0.250 0.026
O6 0.826 0.039 0.349
O7 0.947 0.250 0.849
O8 0.326 0.039 0.151
Ir1 0.000 0.000 0.000
O9 0.553 0.750 0.349
O10 0.174 0.961 0.651
Ir2 0.500 0.000 0.500
Ir3 0.000 0.500 0.000
O11 0.174 0.539 0.651
Ir4 0.500 0.500 0.500
Sb4 0.943 0.750 0.526
O12 0.447 0.250 0.651

Symmetry: No. 62
Final energy, eV per atom: -6.3151


[8]
Compound: Sb2Ir2O5
Source: OQMD
Functional: PBE
Structure: relaxed

a b c (Å): 7.112 3.921 3.921
angles (deg): 90.00 90.00 90.00
Element x y z (fractional)
Sb1 0.500 0.000 0.000
Ir1 0.805 0.500 0.500
O1 0.260 0.500 0.000
O2 0.740 0.000 0.500
O3 0.260 0.000 0.500
Sb2 0.000 0.000 0.000
O4 0.740 0.500 0.000
Ir2 0.195 0.500 0.500
O5 0.500 0.500 0.500

Symmetry: No. 123
Final energy, eV per atom: -5.9904


[9]
Compound: Sb2Ir2O5
Source: OQMD
Functional: PBE
Structure: relaxed

a b c (Å): 6.765 4.183 4.183
angles (deg): 90.00 90.00 90.00
Element x y z (fractional)
Sb1 0.212 0.500 0.500
Sb2 0.788 0.500 0.500
O1 0.211 0.000 0.500
O2 0.789 0.000 0.500
O3 0.500 0.500 0.500
O4 0.211 0.500 0.000
O5 0.789 0.500 0.000
Ir1 0.000 0.000 0.000
Ir2 0.500 0.000 0.000

Symmetry: No. 123
Final energy, eV per atom: -5.4035


[10]
Compound: SbIrO4
Source: OQMD
Functional: PBE
Structure: relaxed

a b c (Å): 6.366 6.366 5.256
angles (deg): 105.06 105.06 44.35
Element x y z (fractional)
Ir1 0.000 0.500 0.500
O1 0.508 0.679 0.977
Sb1 0.729 0.271 0.750
O2 0.872 0.760 0.836
Ir2 0.500 0.000 0.000
O3 0.760 0.872 0.336
O4 0.240 0.128 0.664
O5 0.492 0.321 0.023
O6 0.128 0.240 0.164
O7 0.321 0.492 0.523
Sb2 0.271 0.729 0.250
O8 0.679 0.508 0.477

Symmetry: No. 15
Final energy, eV per atom: -6.4224


[11]
Compound: SrSb2Ir2O7
Source: OQMD
Functional: PBE
Structure: relaxed

a b c (Å): 9.674 9.674 9.674
angles (deg): 31.43 31.43 31.43
Element x y z (fractional)
O1 0.439 0.820 0.075
Ir1 0.934 0.934 0.934
O2 0.180 0.561 0.925
O3 0.000 0.000 0.000
O4 0.561 0.925 0.180
O5 0.075 0.439 0.820
Ir2 0.066 0.066 0.066
Sb1 0.738 0.738 0.738
O6 0.820 0.075 0.439
Sb2 0.262 0.262 0.262
Sr1 0.500 0.500 0.500
O7 0.925 0.180 0.561

Symmetry: No. 155
Final energy, eV per atom: -6.0894


[12]
Compound: Sc2IrO4
Source: OQMD
Functional: PBE
Structure: relaxed

a b c (Å): 6.323 6.323 6.323
angles (deg): 119.99 90.02 119.99
Element x y z (fractional)
Sc1 0.375 0.750 0.625
O1 0.611 0.222 0.832
O2 0.139 0.722 0.861
Sc2 0.875 0.250 0.625
O3 0.139 0.278 0.861
O4 0.168 0.778 0.389
O5 0.611 0.222 0.389
Ir1 0.000 0.000 0.000
O6 0.139 0.278 0.418
Ir2 0.750 0.500 0.250
Sc3 0.375 0.750 0.125
O7 0.611 0.778 0.389
O8 0.582 0.722 0.861
Sc4 0.375 0.250 0.625

Symmetry: No. 227
Final energy, eV per atom: -8.0386